Material: Hf2UH
Method: DFT, GGA-PBE
State: relaxed

The calculation puts the energy above the lowest structure with this stoichiometry at 132 meV per atom. As for the total energy: -8.323 eV/atom. As for the size of the total moment: 0.00 μB/atom. For the theoretical density, the calculation gives 14.47 g/cm³. Its space group is No. 123.

Unit cell a=2.9332 b=2.9332 c=7.9525 alpha=90.00 beta=90.00 gamma=90.00
Fractional positions:
1 Hf 0.0000 0.0000 0.1880
2 Hf 0.0000 0.0000 0.8120
3 U 0.5000 0.5000 0.5000
4 H 0.5000 0.5000 0.0000